First-principles (PBE-GGA) data for a relaxed IrBr3 crystal, as listed in the Alexandria database.

Unit cell a=5.0979 b=5.0979 c=5.0979 alpha=90.00 beta=90.00 gamma=90.00
Closest atoms and distances in Å follow each position.
Fractional coordinates of all 4 atoms:
Ir 0.0000 0.0000 0.0000  6 Br 2.55
Br 0.0000 0.0000 0.5000  2 Ir 2.55
Br 0.0000 0.5000 0.0000  2 Ir 2.55
Br 0.5000 0.0000 0.0000  2 Ir 2.55

D(E_F) = 5.46 states/eV/cell
SG = No. 221

***

First-principles (PBE-GGA) data for a relaxed Ir2Br3 crystal, as listed in the Alexandria database.

Unit cell a=3.9159 b=3.9159 c=8.9078 alpha=90.00 beta=90.00 gamma=120.00
Closest atoms and distances in Å follow each position.
Fractional coordinates of all 5 atoms:
Ir 0.3333 0.6667 0.3190  6 Br 2.50-2.78
Ir 0.6667 0.3333 0.6810  6 Br 2.50-2.78
Br 0.0000 0.0000 0.5000  6 Ir 2.78
Br 0.3333 0.6667 0.8013  3 Ir 2.50
Br 0.6667 0.3333 0.1987  3 Ir 2.50

D(E_F) = 4.83 states/eV/cell
SG = No. 164

***

First-principles (PBE-GGA) data for a relaxed IrBr4 crystal, as listed in the Alexandria database.

Unit cell a=7.2550 b=7.2550 c=6.4519 alpha=91.76 beta=91.76 gamma=62.43
Closest atoms and distances in Å follow each position.
Fractional coordinates of all 10 atoms:
Ir 0.1289 0.8711 0.7500  6 Br 2.44-2.55
Ir 0.8711 0.1289 0.2500  6 Br 2.44-2.55
Br 0.0043 0.7753 0.0679  2 Ir 2.51-2.55
Br 0.2247 0.9957 0.4321  2 Ir 2.51-2.55
Br 0.2347 0.5267 0.5954  1 Ir 2.44
Br 0.4733 0.7653 0.9046  1 Ir 2.44
Br 0.5267 0.2347 0.0954  1 Ir 2.44
Br 0.7653 0.4733 0.4046  1 Ir 2.44
Br 0.7753 0.0043 0.5679  2 Ir 2.51-2.55
Br 0.9957 0.2247 0.9321  2 Ir 2.51-2.55

D(E_F) = 13.49 states/eV/cell
SG = No. 15

***

First-principles (PBE-GGA) data for a relaxed KIrBr2 crystal, as listed in the Alexandria database.

Unit cell a=5.1116 b=5.1116 c=3.3807 alpha=90.00 beta=90.00 gamma=90.00
Closest atoms and distances in Å follow each position.
Fractional coordinates of all 4 atoms:
K 0.0000 0.0000 0.0000  8 Br 3.06, 2 K 3.38
Ir 0.5000 0.5000 0.0000  8 Br 3.06, 2 Ir 3.38
Br 0.0000 0.5000 0.5000  4 K 3.06, 4 Ir 3.06, 2 Br 3.38
Br 0.5000 0.0000 0.5000  4 K 3.06, 4 Ir 3.06, 2 Br 3.38

D(E_F) = 2.20 states/eV/cell
SG = No. 123

***

First-principles (PBE-GGA) data for a relaxed KIrBr3 crystal, as listed in the Alexandria database.

Unit cell a=5.1867 b=5.1867 c=5.1867 alpha=90.00 beta=90.00 gamma=90.00
Closest atoms and distances in Å follow each position.
Fractional coordinates of all 5 atoms:
K 0.0000 0.0000 0.0000  12 Br 3.67
Ir 0.5000 0.5000 0.5000  6 Br 2.59
Br 0.0000 0.5000 0.5000  2 Ir 2.59
Br 0.5000 0.0000 0.5000  2 Ir 2.59
Br 0.5000 0.5000 0.0000  2 Ir 2.59

D(E_F) = 3.76 states/eV/cell
SG = No. 221

***

First-principles (PBE-GGA) data for a relaxed KIrBr3 crystal, as listed in the Alexandria database.

Unit cell a=6.0144 b=6.0144 c=6.0144 alpha=90.00 beta=90.00 gamma=90.00
Closest atoms and distances in Å follow each position.
Fractional coordinates of all 5 atoms:
K 0.0000 0.0000 0.0000  6 Br 3.01
Ir 0.5000 0.5000 0.5000  12 Br 4.25
Br 0.0000 0.0000 0.5000  2 K 3.01
Br 0.0000 0.5000 0.0000  2 K 3.01
Br 0.5000 0.0000 0.0000  2 K 3.01

D(E_F) = 10.09 states/eV/cell
SG = No. 221

***

First-principles (PBE-GGA) data for a relaxed K2IrBr2 crystal, as listed in the Alexandria database.

Unit cell a=7.0160 b=7.0160 c=7.0160 alpha=127.26 beta=127.26 gamma=77.82
Closest atoms and distances in Å follow each position.
Fractional coordinates of all 5 atoms:
K 0.1869 0.1869 0.0000  4 Br 3.19, 1 Ir 3.42
K 0.8131 0.8131 0.0000  4 Br 3.19, 1 Ir 3.42
Ir 0.5000 0.5000 0.0000  2 K 3.42
Br 0.2500 0.7500 0.5000  4 K 3.19
Br 0.7500 0.2500 0.5000  4 K 3.19

D(E_F) = 6.62 states/eV/cell
SG = No. 139

***

First-principles (PBE-GGA) data for a relaxed KIr2Br crystal, as listed in the Alexandria database.

Unit cell a=7.1138 b=7.1138 c=2.5915 alpha=90.00 beta=90.00 gamma=135.21
Closest atoms and distances in Å follow each position.
Fractional coordinates of all 4 atoms:
K 0.0000 0.0000 0.0000  2 K 2.59, 2 Br 2.71
Ir 0.0000 0.5000 0.5000  4 Ir 2.59-2.71
Ir 0.5000 0.0000 0.5000  4 Ir 2.59-2.71
Br 0.5000 0.5000 0.0000  2 Br 2.59, 2 K 2.71

D(E_F) = 4.34 states/eV/cell
SG = No. 65

***

The evaluated energy relative to the elements, uncorrected for the records listed, in turn: 0.262 0.649 -0.164 0.192 -0.483 0.973 0.122 0.943 eV per atom.
The evaluated spin magnetization for the records listed, in turn: 1.08 0.00 1.33 0.00 0.00 4.66 3.00 0.00 μB/cell.